# 1
Entry from the Alexandria database: a crystal of PbSeBr2 relaxed with PBEsol (meta-GGA SCAN).

Output
Space-group type: R-3m
Fermi-level density of states (states/eV/f.u.): 0.85
Magnetization (μB per cell): 2.00
Uncorrected formation energy (kJ/mol of formula units): -48
Distance to the lowest polymorph of the same formula (meV per atom): 0

a = 4.0836 Å, b = 4.0836 Å, c = 9.1822 Å
α = 77.15°, β = 77.15°, γ = 60.00°
Each line ends with the local moment (μB).
Fractional coordinates of all 4 atoms:
Br 0.2366 0.2366 0.2903  0.06
Br 0.7634 0.7634 0.7097  0.06
Pb 0.5000 0.5000 0.5000  0.02
Se 0.0000 0.0000 0.0000  1.12

# 2
Entry from the Alexandria database: a crystal of ScCoMo2 relaxed with PBEsol (meta-GGA SCAN).

Output
Space-group type: R3m
Fermi-level density of states (states/eV/f.u.): 4.04
Magnetization (μB per cell): 1.26
Distance to the lowest polymorph of the same formula (meV per atom): 407

a = 2.8193 Å, b = 2.8193 Å, c = 8.9792 Å
α = 80.97°, β = 80.97°, γ = 60.00°
Each line ends with the local moment (μB).
Fractional coordinates of all 4 atoms:
Co 0.2531 0.2531 0.2406  1.38
Mo 0.9923 0.9923 0.0230  0.06
Mo 0.7474 0.7474 0.7578  -0.04
Sc 0.5071 0.5071 0.4786  -0.10

# 3
Entry from the Alexandria database: a crystal of In2ReW relaxed with PBEsol (meta-GGA SCAN).

Output
Space-group type: Cm
Fermi-level density of states (states/eV/f.u.): 2.23
Magnetization (μB per cell): 0.00
Distance to the lowest polymorph of the same formula (meV per atom): 0

a = 3.1570 Å, b = 4.8846 Å, c = 5.1805 Å
α = 106.16°, β = 107.74°, γ = 90.00°
Fractional coordinates of all 4 atoms:
In 0.9859 0.9749 0.9718
In 0.7653 0.2760 0.5305
Re 0.5263 0.5103 0.0526
W 0.2225 0.7388 0.4451

# 4
Entry from the Alexandria database: a crystal of Hg2POs relaxed with PBEsol (meta-GGA SCAN).

Output
Final energy (eV per atom): -53.7192
Space-group type: C2/m
Fermi-level density of states (states/eV/f.u.): 2.53
Magnetization (μB per cell): 0.00

a = 3.1834 Å, b = 4.3297 Å, c = 5.7446 Å
α = 111.17°, β = 104.81°, γ = 93.26°
Fractional coordinates of all 4 atoms:
Hg 0.0000 0.0000 0.5000
Hg 0.5000 0.5000 0.5000
Os 0.0000 0.0000 0.0000
P 0.5000 0.5000 0.0000

# 5
Entry from the Alexandria database: a crystal of LaScTcO2 relaxed with PBEsol (meta-GGA SCAN).

Output
Space-group type: P4/mmm
Fermi-level density of states (states/eV/f.u.): 4.78
Magnetization (μB per cell): 0.00
Uncorrected formation energy (kJ/mol of formula units): -95

a = 4.0716 Å, b = 4.0716 Å, c = 5.0379 Å
α = 90.00°, β = 90.00°, γ = 90.00°
Fractional coordinates of all 5 atoms:
Sc 0.5000 0.5000 0.5000
Tc 0.0000 0.0000 0.0000
O 0.0000 0.5000 0.0000
O 0.5000 0.0000 0.0000
La 0.0000 0.0000 0.5000

# 6
Entry from the Alexandria database: a crystal of TeAu2Br relaxed with PBEsol (meta-GGA SCAN).

Output
Space-group type: P4/mmm
Fermi-level density of states (states/eV/f.u.): 1.73
Magnetization (μB per cell): 0.00
Uncorrected formation energy (kJ/mol of formula units): 155
Distance to the lowest polymorph of the same formula (meV per atom): 430

a = 2.9055 Å, b = 5.4708 Å, c = 5.4708 Å
α = 90.00°, β = 90.00°, γ = 90.00°
Fractional coordinates of all 4 atoms:
Te 0.5000 0.0000 0.0000
Au 0.0000 0.0000 0.5000
Au 0.0000 0.5000 0.0000
Br 0.5000 0.5000 0.5000

# 7
Entry from the Alexandria database: a crystal of CdPt relaxed with PBEsol (meta-GGA SCAN).

Output
Final energy (eV per atom): -50.5644
Space-group type: Cm
Fermi-level density of states (states/eV/f.u.): 0.72
Magnetization (μB per cell): 0.00

a = 2.8793 Å, b = 5.3814 Å, c = 7.1852 Å
α = 108.18°, β = 90.00°, γ = 105.52°
Fractional coordinates of all 6 atoms:
Pt 0.6503 0.3006 0.3499
Pt 0.0492 0.0984 0.6101
Pt 0.7391 0.4783 0.9285
Cd 0.0273 0.0546 0.0064
Cd 0.3675 0.7351 0.2727
Cd 0.3332 0.6664 0.6657

# 8
Entry from the Alexandria database: a crystal of Ba2CaCr2CuF14 relaxed with PBEsol (meta-GGA SCAN).

Output
Space-group type: C2/c
Magnetization (μB per cell): 14.00
Uncorrected formation energy (kJ/mol of formula units): -6662

a = 5.3093 Å, b = 7.3802 Å, c = 14.6794 Å
α = 91.62°, β = 90.00°, γ = 111.08°
Each line ends with the local moment (μB).
Fractional coordinates of all 40 atoms:
Ba 0.2554 0.3764 0.6214  0.00
Ba 0.1210 0.3764 0.1214  0.00
Ba 0.7446 0.6236 0.3786  0.00
Ba 0.8790 0.6236 0.8786  0.00
Ca 0.4234 0.0000 0.2500  0.00
Ca 0.5766 0.0000 0.7500  0.00
Cr 0.1042 0.2457 0.3753  2.82
Cr 0.1415 0.2457 0.8753  2.82
Cr 0.8958 0.7543 0.6247  2.82
Cr 0.8585 0.7543 0.1247  2.82
Cu 0.5000 0.0000 0.0000  0.81
Cu 0.5000 0.0000 0.5000  0.81
F 0.6615 0.4922 0.0970  0.02
F 0.3385 0.5078 0.9030  0.02
F 0.9338 0.0135 0.6544  0.02
F 0.9203 0.9865 0.8456  0.02
F 0.8804 0.1773 0.4804  0.05
F 0.1708 0.7553 0.7079  0.02
F 0.4155 0.2447 0.7921  0.02
F 0.8306 0.4922 0.5970  0.02
F 0.0797 0.0135 0.1544  0.02
F 0.4035 0.2757 0.4537  0.01
F 0.8722 0.2757 0.9537  0.01
F 0.4902 0.1099 0.6169  0.05
F 0.0662 0.9865 0.3456  0.02
F 0.5845 0.7553 0.2079  0.02
F 0.0391 0.6811 0.2228  0.01
F 0.1694 0.5078 0.4030  0.02
F 0.2968 0.1773 0.9804  0.05
F 0.1278 0.7243 0.0463  0.01
F 0.3580 0.3189 0.2772  0.01
F 0.6420 0.6811 0.7228  0.01
F 0.3802 0.8901 0.8831  0.05
F 0.6198 0.1099 0.1169  0.05
F 0.5965 0.7243 0.5463  0.01
F 0.1196 0.8227 0.5196  0.05
F 0.7032 0.8227 0.0196  0.05
F 0.9609 0.3189 0.7772  0.01
F 0.8292 0.2447 0.2921  0.02
F 0.5098 0.8901 0.3831  0.05

# 9
Entry from the Alexandria database: a crystal of TcNiTe2 relaxed with PBEsol (meta-GGA SCAN).

Output
Space-group type: R-3m
Fermi-level density of states (states/eV/f.u.): 2.64
Magnetization (μB per cell): 0.00
Uncorrected formation energy (kJ/mol of formula units): 69

a = 3.3303 Å, b = 3.3303 Å, c = 7.6414 Å
α = 77.41°, β = 77.41°, γ = 60.00°
Fractional coordinates of all 4 atoms:
Ni 0.5000 0.5000 0.5000
Tc 0.0000 0.0000 0.0000
Te 0.2459 0.2459 0.2623
Te 0.7541 0.7541 0.7377

# 10
Entry from the Alexandria database: a crystal of ZrPb2 relaxed with PBEsol (meta-GGA SCAN).

Output
Final energy (eV per atom): -60.8852
Space-group type: Immm
Fermi-level density of states (states/eV/f.u.): 1.70
Magnetization (μB per cell): 0.00

a = 3.4808 Å, b = 4.0981 Å, c = 5.8068 Å
α = 110.66°, β = 107.44°, γ = 90.00°
Fractional coordinates of all 3 atoms:
Pb 0.6580 0.6580 0.3160
Pb 0.3420 0.3420 0.6840
Zr 0.0000 0.0000 0.0000

# 11
Entry from the Alexandria database: a crystal of MgZnCo4 relaxed with PBEsol (meta-GGA SCAN).

Output
Final energy (eV per atom): -14.5453
Space-group type: F-43m
Fermi-level density of states (states/eV/f.u.): 4.00
Magnetization (μB per cell): 6.57

a = 4.7050 Å, b = 4.7050 Å, c = 4.7050 Å
α = 60.00°, β = 60.00°, γ = 60.00°
Each line ends with the local moment (μB).
Fractional coordinates of all 6 atoms:
Zn 0.0000 0.0000 0.0000  -0.08
Co 0.3747 0.3747 0.3747  1.74
Co 0.3747 0.3747 0.8759  1.74
Co 0.8759 0.3747 0.3747  1.74
Co 0.3747 0.8759 0.3747  1.74
Mg 0.7500 0.7500 0.7500  -0.04

# 12
Entry from the Alexandria database: a crystal of Cd2SiAgMo relaxed with PBEsol (meta-GGA SCAN).

Output
Space-group type: P4/mmm
Fermi-level density of states (states/eV/f.u.): 2.33
Magnetization (μB per cell): 4.21
Uncorrected formation energy (kJ/mol of formula units): 535

a = 4.6213 Å, b = 4.8801 Å, c = 4.8801 Å
α = 90.00°, β = 90.00°, γ = 90.00°
Each line ends with the local moment (μB).
Fractional coordinates of all 5 atoms:
Mo 0.5000 0.5000 0.5000  3.84
Si 0.0000 0.0000 0.0000  0.07
Ag 0.5000 0.0000 0.0000  0.00
Cd 0.0000 0.0000 0.5000  -0.05
Cd 0.0000 0.5000 0.0000  -0.05

# 13
Entry from the Alexandria database: a crystal of Fe3PN relaxed with PBEsol (meta-GGA SCAN).

Output
Space-group type: Pm-3m
Fermi-level density of states (states/eV/f.u.): 2.14
Magnetization (μB per cell): 6.57
Uncorrected formation energy (kJ/mol of formula units): -17

a = 3.7126 Å, b = 3.7126 Å, c = 3.7126 Å
α = 90.00°, β = 90.00°, γ = 90.00°
Each line ends with the local moment (μB).
Fractional coordinates of all 5 atoms:
P 0.5000 0.5000 0.5000  0.04
Fe 0.0000 0.5000 0.0000  2.21
Fe 0.0000 0.0000 0.5000  2.21
Fe 0.5000 0.0000 0.0000  2.21
N 0.0000 0.0000 0.0000  0.04

# 14
Entry from the Alexandria database: a crystal of RbTa2Os relaxed with PBEsol (meta-GGA SCAN).

Output
Final energy (eV per atom): -55.0471
Space-group type: Fm-3m
Fermi-level density of states (states/eV/f.u.): 3.55
Magnetization (μB per cell): 0.00

a = 4.6745 Å, b = 4.6745 Å, c = 4.6745 Å
α = 60.00°, β = 60.00°, γ = 60.00°
Fractional coordinates of all 4 atoms:
Os 0.5000 0.5000 0.5000
Rb 0.0000 0.0000 0.0000
Ta 0.2500 0.2500 0.2500
Ta 0.7500 0.7500 0.7500

# 15
Entry from the Alexandria database: a crystal of CrFePt2 relaxed with PBEsol (meta-GGA SCAN).

Output
Final energy (eV per atom): -44.2826
Space-group type: R3m
Fermi-level density of states (states/eV/f.u.): 3.74
Magnetization (μB per cell): 0.21

a = 2.6651 Å, b = 2.6651 Å, c = 8.7163 Å
α = 81.21°, β = 81.21°, γ = 60.00°
Each line ends with the local moment (μB).
Fractional coordinates of all 4 atoms:
Cr 0.5050 0.5050 0.4848  -2.44
Fe 0.2449 0.2449 0.2654  2.68
Pt 0.9943 0.9943 0.0171  0.23
Pt 0.7558 0.7558 0.7326  -0.08

# 16
Entry from the Alexandria database: a crystal of MgMn3N relaxed with PBEsol (meta-GGA SCAN).

Output
Space-group type: Pm-3m
Fermi-level density of states (states/eV/f.u.): 2.36
Magnetization (μB per cell): 11.43
Uncorrected formation energy (kJ/mol of formula units): 952

a = 4.6022 Å, b = 4.6022 Å, c = 4.6022 Å
α = 90.00°, β = 90.00°, γ = 90.00°
Each line ends with the local moment (μB).
Fractional coordinates of all 5 atoms:
Mg 0.0000 0.0000 0.0000  -0.07
Mn 0.0000 0.5000 0.0000  4.07
Mn 0.0000 0.0000 0.5000  4.07
Mn 0.5000 0.0000 0.0000  4.07
N 0.5000 0.5000 0.5000  -1.13

# 17
Entry from the Alexandria database: a crystal of Mg3Zr2 relaxed with PBEsol (meta-GGA SCAN).

Output
Space-group type: R-3m
Fermi-level density of states (states/eV/f.u.): 2.55
Magnetization (μB per cell): 0.15
Distance to the lowest polymorph of the same formula (meV per atom): 0

a = 3.0507 Å, b = 3.0507 Å, c = 13.5953 Å
α = 83.56°, β = 83.56°, γ = 60.00°
Fractional coordinates of all 5 atoms:
Mg 0.0000 0.0000 0.0000
Mg 0.1996 0.1996 0.4012
Mg 0.8004 0.8004 0.5988
Zr 0.4006 0.4006 0.7981
Zr 0.5994 0.5994 0.2019

# 18
Entry from the Alexandria database: a crystal of Sr2CuF6 relaxed with PBEsol (meta-GGA SCAN).

Output
Space-group type: Cmce
Fermi-level density of states (states/eV/f.u.): 0.00
Magnetization (μB per cell): 2.01
Uncorrected formation energy (kJ/mol of formula units): -2968
Distance to the lowest polymorph of the same formula (meV per atom): 0

a = 5.6985 Å, b = 5.7037 Å, c = 8.6297 Å
α = 109.30°, β = 90.00°, γ = 90.00°
Each line ends with the local moment (μB).
Fractional coordinates of all 18 atoms:
Sr 0.5000 0.3383 0.6766  0.00
Sr 0.0000 0.8383 0.6766  0.00
Sr 0.0000 0.1617 0.3234  0.00
Sr 0.5000 0.6617 0.3234  0.00
Cu 0.5000 0.0000 0.0000  0.79
Cu 0.0000 0.5000 0.0000  0.79
F 0.3327 0.2480 0.1622  0.06
F 0.2500 0.0065 0.5000  0.00
F 0.7500 0.4935 0.5000  0.00
F 0.6673 0.7520 0.8378  0.06
F 0.7500 0.9935 0.5000  0.00
F 0.6673 0.9142 0.1622  0.06
F 0.8327 0.2520 0.8378  0.06
F 0.8327 0.4142 0.1622  0.06
F 0.2500 0.5065 0.5000  0.00
F 0.1673 0.5858 0.8378  0.06
F 0.1673 0.7480 0.1622  0.06
F 0.3327 0.0858 0.8378  0.06

# 19
Entry from the Alexandria database: a crystal of ZrSnTeN2 relaxed with PBEsol (meta-GGA SCAN).

Output
Space-group type: P4/mmm
Fermi-level density of states (states/eV/f.u.): 2.53
Magnetization (μB per cell): 1.86
Uncorrected formation energy (kJ/mol of formula units): 97

a = 4.2151 Å, b = 4.2151 Å, c = 5.8363 Å
α = 90.00°, β = 90.00°, γ = 90.00°
Each line ends with the local moment (μB).
Fractional coordinates of all 5 atoms:
Te 0.0000 0.0000 0.5000  0.08
Sn 0.5000 0.5000 0.5000  -0.02
Zr 0.0000 0.0000 0.0000  -0.14
N 0.0000 0.5000 0.0000  0.71
N 0.5000 0.0000 0.0000  0.71

# 20
Entry from the Alexandria database: a crystal of LaTaCr2 relaxed with PBEsol (meta-GGA SCAN).

Output
Space-group type: Immm
Fermi-level density of states (states/eV/f.u.): 3.58
Magnetization (μB per cell): 0.00
Distance to the lowest polymorph of the same formula (meV per atom): 185

a = 3.1503 Å, b = 4.9650 Å, c = 5.1301 Å
α = 118.94°, β = 107.88°, γ = 90.00°
Fractional coordinates of all 4 atoms:
Cr 0.7497 0.7497 0.4994
Cr 0.2503 0.2503 0.5006
La 0.5000 0.0000 0.0000
Ta 0.0000 0.5000 0.0000